La3Pr4NdTe8 | PBE | relaxed

Calculated values
The space group is C2/m, No. 12.

Lattice parameters (Å, degrees): 9.117 9.074 9.107 120.04 120.04 90.00
Positions (direct):
Te: 0.249 0.750 0.001
La: 0.500 0.500 0.000
La: 0.000 0.500 0.500
Te: 0.751 0.250 0.502
Te: 0.249 0.248 0.499
Pr: 0.000 0.000 0.500
Pr: 0.000 0.000 0.000
Te: 0.248 0.250 0.999
Pr: 0.500 0.000 0.000
Te: 0.249 0.750 0.498
Nd: 0.000 0.500 0.000
Te: 0.752 0.750 0.001
Te: 0.751 0.250 0.999
La: 0.500 0.500 0.500
Pr: 0.500 0.000 0.500
Te: 0.751 0.752 0.501

La4PrNd3Te8 | PBE | relaxed

Calculated values
The space group is R-3m, No. 166.

Lattice parameters (Å, degrees): 9.111 9.070 9.107 120.11 120.02 90.00
Positions (direct):
Te: 0.249 0.746 0.499
Nd: 0.000 0.500 0.500
Te: 0.751 0.254 0.501
La: 0.500 0.000 0.500
La: 0.000 0.000 0.500
Te: 0.748 0.745 0.497
La: 0.500 0.000 0.000
Te: 0.252 0.255 0.503
Nd: 0.500 0.500 0.500
Te: 0.252 0.254 0.003
Te: 0.748 0.746 0.997
Nd: 0.500 0.500 0.000
Te: 0.751 0.254 0.003
Te: 0.249 0.746 0.997
Pr: 0.000 0.500 0.000
La: 0.000 0.000 0.000

LaPr3Nd2Te6 | PBE | relaxed

Calculated values
The space group is C2/m, No. 12.

Lattice parameters (Å, degrees): 4.517 9.093 10.117 102.85 102.90 90.00
Positions (direct):
La: 0.500 0.000 0.000
Te: 0.332 0.915 0.665
Te: 0.999 0.748 0.997
Nd: 0.832 0.665 0.664
Pr: 0.834 0.169 0.668
Te: 0.001 0.252 0.003
Nd: 0.168 0.335 0.336
Pr: 0.166 0.831 0.332
Te: 0.333 0.419 0.666
Te: 0.668 0.085 0.335
Pr: 0.500 0.500 0.000
Te: 0.667 0.581 0.334

no.,raw total energy (eV/cell)
1,-87.7
2,-88.1
3,-65.2